(1)
AgOs2Au: optimized geometry, PBE.

E_form: 0.692 eV/atom
total DFT energy (no corrections): -6.455 eV/atom
polymorph energy (0 for the lowest one): 374 meV/atom

Cell: 9.603 2.765 4.832 Å, 90.00 99.78 90.00°
Space group C2/m (No. 12)
Symmetry-distinct sites (fractional):
Ag  0.000  0.000  0.000 (multiplicity 2)
Os  0.246  0.000  0.756 (multiplicity 4)
Au  0.000  0.500  0.500 (multiplicity 2)

(2)
AgOs2Au: optimized geometry, PBE.

E_form: 0.887 eV/atom
total DFT energy (no corrections): -6.260 eV/atom
polymorph energy (0 for the lowest one): 570 meV/atom

Cell: 3.819 3.819 8.739 Å, 90.00 90.00 90.00°
Space group I4/mmm (No. 139)
Symmetry-distinct sites (fractional):
Ag  0.000  0.000  0.000 (multiplicity 2)
Os  0.000  0.500  0.250 (multiplicity 4)
Au  0.000  0.000  0.500 (multiplicity 2)